Entry 1:
## Ta3MnIr (SCAN)

Data for a crystal of Ta3MnIr relaxed with PBEsol.

a = 4.445 Å, b = 4.445 Å, c = 4.445 Å
α = 90.00°, β = 90.00°, γ = 90.00°
Space group Pm-3m (No. 221)
One atom of each set of equivalent atoms:
Ta: 0.000 0.000 0.500 x3
Mn: 0.000 0.000 0.000 x1
Ir: 0.500 0.500 0.500 x1

Summary:
formation energy	0.796	eV per atom

=====

Entry 2:
## Mn2TcIr (SCAN)

Data for a crystal of Mn2TcIr relaxed with PBEsol.

a = 3.946 Å, b = 2.627 Å, c = 9.433 Å
α = 90.00°, β = 90.00°, γ = 90.00°
Space group Amm2 (No. 38)
One atom of each set of equivalent atoms:
Mn: 0.000 0.000 0.000 x2
Mn: 0.500 0.000 0.114 x2
Tc: 0.500 0.000 0.384 x2
Ir: 0.000 0.000 0.730 x2

Summary:
formation energy	-0.135	eV per atom

=====

Entry 3:
## MnTc2Ir (SCAN)

Data for a crystal of MnTc2Ir relaxed with PBEsol.

a = 8.789 Å, b = 2.657 Å, c = 4.634 Å
α = 90.00°, β = 99.78°, γ = 90.00°
Space group Cm (No. 8)
One atom of each set of equivalent atoms:
Mn: 0.000 0.000 0.000 x2
Tc: 0.255 0.000 0.760 x2
Tc: 0.498 0.000 0.501 x2
Ir: 0.250 0.500 0.250 x2

Summary:
formation energy	-0.160	eV per atom

=====

Entry 4:
## Mn2TcIr (SCAN)

Data for a crystal of Mn2TcIr relaxed with PBEsol.

a = 3.022 Å, b = 4.074 Å, c = 8.351 Å
α = 90.00°, β = 90.00°, γ = 90.00°
Space group Imm2 (No. 44)
One atom of each set of equivalent atoms:
Mn: 0.000 0.000 0.000 x2
Mn: 0.000 0.500 0.265 x2
Tc: 0.000 0.000 0.519 x2
Ir: 0.000 0.500 0.752 x2

Summary:
formation energy	-0.222	eV per atom

=====

Entry 5:
## MnTeIr (SCAN)

Data for a crystal of MnTeIr relaxed with PBEsol.

a = 3.107 Å, b = 3.107 Å, c = 10.452 Å
α = 90.00°, β = 90.00°, γ = 90.00°
Space group I4mm (No. 107)
One atom of each set of equivalent atoms:
Mn: 0.000 0.000 0.000 x2
Te: 0.000 0.000 0.683 x2
Ir: 0.000 0.000 0.362 x2

Summary:
formation energy from raw total energies	0.47	eV per formula unit

=====

Entry 6:
## MnTe2Ir (SCAN)

Data for a crystal of MnTe2Ir relaxed with PBEsol.

a = 4.0106 Å, b = 4.0106 Å, c = 18.1471 Å
α = 90.00°, β = 90.00°, γ = 120.00°
Space group R-3m (No. 166, hexagonal axes)
One atom of each set of equivalent atoms:
Mn: 0.0000 0.0000 0.0000 x3
Te: 0.0000 0.0000 0.2428 x6
Ir: 0.0000 0.0000 0.5000 x3

Summary:
formation energy from raw total energies	-0.44	eV per formula unit

=====

Entry 7:
## Mn4TeIr (SCAN)

Data for a crystal of Mn4TeIr relaxed with PBEsol.

a = 6.756 Å, b = 6.756 Å, c = 6.756 Å
α = 90.00°, β = 90.00°, γ = 90.00°
Space group F-43m (No. 216)
One atom of each set of equivalent atoms:
Mn: 0.124 0.124 0.124 x16
Te: 0.000 0.000 0.500 x4
Ir: 0.250 0.250 0.750 x4

Summary:
formation energy from raw total energies	1.86	eV per formula unit

=====

Entry 8:
## MnTe2Ir (SCAN)

Data for a crystal of MnTe2Ir relaxed with PBEsol.

a = 3.975 Å, b = 3.975 Å, c = 9.579 Å
α = 90.00°, β = 90.00°, γ = 90.00°
Space group I-4m2 (No. 119)
One atom of each set of equivalent atoms:
Mn: 0.000 0.000 0.000 x2
Te: 0.000 0.000 0.500 x2
Te: 0.000 0.500 0.250 x2
Ir: 0.000 0.500 0.750 x2

Summary:
formation energy from raw total energies	1.32	eV per formula unit

=====

Entry 9:
## Mn2TeIr (SCAN)

Data for a crystal of Mn2TeIr relaxed with PBEsol.

a = 3.957 Å, b = 3.957 Å, c = 7.863 Å
α = 90.00°, β = 90.00°, γ = 90.00°
Space group I4/mmm (No. 139)
One atom of each set of equivalent atoms:
Mn: 0.000 0.500 0.250 x4
Te: 0.000 0.000 0.000 x2
Ir: 0.000 0.000 0.500 x2

Summary:
formation energy from raw total energies	-0.43	eV per formula unit

=====

Entry 10:
## MnTeIr2 (SCAN)

Data for a crystal of MnTeIr2 relaxed with PBEsol.

a = 2.887 Å, b = 4.651 Å, c = 4.712 Å
α = 90.00°, β = 90.13°, γ = 90.00°
Space group P2/m (No. 10)
One atom of each set of equivalent atoms:
Mn: 0.000 0.000 0.000 x1
Te: 0.500 0.000 0.500 x1
Ir: 0.252 0.500 0.238 x2

Summary:
formation energy from raw total energies	0.83	eV per formula unit

=====

Entry 11:
## MnTlIr2 (SCAN)

Data for a crystal of MnTlIr2 relaxed with PBEsol.

a = 2.838 Å, b = 3.833 Å, c = 5.761 Å
α = 90.00°, β = 90.00°, γ = 90.00°
Space group Pmm2 (No. 25)
One atom of each set of equivalent atoms:
Mn: 0.000 0.000 0.000 x1
Tl: 0.500 0.500 0.297 x1
Ir: 0.000 0.000 0.567 x1
Ir: 0.500 0.500 0.812 x1

Summary:
formation energy	0.199	eV per atom

=====

Entry 12:
## MnTlIr2 (SCAN)

Data for a crystal of MnTlIr2 relaxed with PBEsol.

a = 6.286 Å, b = 6.286 Å, c = 6.286 Å
α = 90.00°, β = 90.00°, γ = 90.00°
Space group Fm-3m (No. 225)
One atom of each set of equivalent atoms:
Mn: 0.000 0.000 0.000 x4
Tl: 0.000 0.000 0.500 x4
Ir: 0.250 0.250 0.250 x8

Summary:
formation energy	0.168	eV per atom